# 1
Entry from the Alexandria database: a geometry-optimized Sn2SbSe4 structure (GGA-PBE).

Cell: 14.017 14.080 8.324 Å, 90.00 90.00 90.00°
Space group Fdd2 (No. 43)
Asymmetric unit:
Sn (0.018, 0.251, 0.000) [16 per cell]
Sb (0.000, 0.000, 0.270) [8 per cell]
Se (0.123, 0.170, 0.732) [16 per cell]
Se (0.124, 0.164, 0.256) [16 per cell]

Computed properties:
Spin magnetization, μB/f.u.: 0.00
Crystal system: orthorhombic
VASP energy, eV/atom: -4.035

***

# 2
Entry from the Alexandria database: a geometry-optimized SnSb3Se structure (GGA-PBE).

Cell: 5.433 5.433 5.433 Å, 90.00 90.00 90.00°
Space group Pm-3m (No. 221)
Asymmetric unit:
Sn (0.000, 0.000, 0.000) [1 per cell]
Sb (0.000, 0.500, 0.500) [3 per cell]
Se (0.500, 0.500, 0.500) [1 per cell]

Computed properties:
Spin magnetization, μB/f.u.: 0.00
Crystal system: cubic
VASP energy, eV/atom: -3.428

***

# 3
Entry from the Alexandria database: a geometry-optimized Sn2SbSe2 structure (GGA-PBE).

Cell: 8.464 8.464 3.767 Å, 90.00 90.00 90.00°
Space group P4/mbm (No. 127)
Asymmetric unit:
Sn (0.187, 0.313, 0.000) [4 per cell]
Sb (0.000, 0.000, 0.000) [2 per cell]
Se (0.143, 0.643, 0.500) [4 per cell]

Computed properties:
Spin magnetization, μB/f.u.: 0.00
Crystal system: tetragonal
VASP energy, eV/atom: -3.856